Entry from Alexandria: a geometry-optimized Ni3OF5 structure (PBE+U).

Summary:
Excess energy over the best structure of this formula in the dataset ... 1 meV/atom
Space-group type ... No. 38
Volume ... 11.39 A^3/atom

Geometry as POSCAR:
```
Ni3OF5
1.0
9.283 0.000 0.000
0.000 3.355 3.292
0.000 -3.355 3.292
Ni O F
6 2 10
Direct
0.000 0.000 0.000
0.167 0.482 0.482
0.330 0.999 0.999
0.500 0.498 0.498
0.670 0.999 0.999
0.833 0.482 0.482
0.166 0.187 0.187
0.834 0.187 0.187
0.000 0.293 0.687
0.000 0.687 0.293
0.165 0.790 0.790
0.333 0.298 0.691
0.333 0.691 0.298
0.500 0.193 0.193
0.500 0.804 0.804
0.667 0.298 0.691
0.667 0.691 0.298
0.835 0.790 0.790
```